Entry 1:
YTmCd2 | the Alexandria database | PBE | relaxed; excess energy over the best structure of this formula in the dataset = 0.002 eV/atom; formation energy = -333 meV per atom; energy = -14.1 eV for the cell shown; spin magnetization = 0.000 μB per cell; ρ = 7.77 g/cm3
1.0
3.753 0.000 0.000
0.000 5.244 0.000
0.000 0.000 5.244
Cd Y Tm
2 1 1
Direct
0.000 0.500 0.000
0.000 0.000 0.500
0.500 0.000 0.000
0.500 0.500 0.500

---

Entry 2:
YTm3Cd2 | the Alexandria database | PBE | relaxed; excess energy over the best structure of this formula in the dataset = 0.023 eV/atom; formation energy = -194 meV per atom; energy = -22.9 eV for the cell shown; spin magnetization = 0.000 μB per cell; ρ = 8.26 g/cm3
1.0
-3.086 1.773 0.299
-0.725 -1.770 3.016
5.958 9.216 6.842
Tm Cd Y
3 2 1
Direct
0.000 0.000 0.308
0.000 0.000 0.000
0.000 0.000 0.692
0.500 0.500 0.151
0.500 0.500 0.849
0.500 0.500 0.500

---

Entry 3:
YTm2Cd3 | the Alexandria database | PBE | relaxed; formation energy = -326 meV per atom; energy = -20.1 eV for the cell shown; spin magnetization = 0.001 μB per cell; ρ = 8.26 g/cm3
1.0
3.715 0.000 0.000
0.000 3.715 0.000
0.000 0.000 11.136
Cd Tm Y
3 2 1
Direct
0.000 0.000 0.000
0.000 0.000 0.671
0.000 0.000 0.329
0.500 0.500 0.165
0.500 0.500 0.835
0.500 0.500 0.500

---

The following volume values (in Å³ per atom) correspond, in order, to the records above: 25.8, 27.5, 25.6.